First-principles (PBE) data for MoRuRh6 after structural relaxation, as listed in Alexandria.

It has space group R-3m (No. 166, hexagonal axes), with a = 7.2310 Å, b = 7.2310 Å, c = 8.9750 Å, α = 90.00°, β = 90.00° and γ = 120.00°. The asymmetric unit holds Mo at (0.0000, 0.0000, 0.0000), Ru at (0.0000, 0.0000, 0.5000) and Rh at (0.0753, 0.5377, 0.8678).

Its relative energy among the computed polymorphs is 754.5 meV per atom. Its calculated density is 9.98 Mg/m³. Its formation energy is 694 meV/atom.